Record 1
The following is a DFT calculation (PBE) of a relaxed structure of Sc2MnCo.

## Properties
Calculated volume, Å³ per cell: 72.4
SG: R3m
Final energy, eV/atom: -6.988
Formation energy, eV per atom: 0.247
Magnetic moment, Bohr magnetons per cell: 3.78

Lattice parameters (Å, degrees): 8.8249 8.8249 8.8249 20.31 20.31 20.31
Last column: nearest neighbours and their distance in Å.
Atoms (fractional coordinates):
Mn  0.7624  0.7624  0.7624  3 Co 2.47
Sc  0.2323  0.2323  0.2323  3 Co 2.57
Sc  0.0108  0.0108  0.0108  3 Mn 2.84, 6 Sc 3.11
Co  0.4945  0.4945  0.4945  3 Mn 2.47, 3 Sc 2.57

=====

Record 2
The following is a DFT calculation (PBE) of a relaxed structure of Ce4Ga12Sn.

## Properties
Calculated volume, Å³ per cell: 354.2
SG: Im-3m
Final energy, eV/atom: -4.249
Formation energy, eV per atom: -0.481
Magnetic moment, Bohr magnetons per cell: 2.47

Lattice parameters (Å, degrees): 7.7204 7.7204 7.7204 109.47 109.47 109.47
Last column: nearest neighbours and their distance in Å.
Atoms (fractional coordinates):
Ga  0.0000  0.3203  0.3203  4 Ga 2.74, 1 Sn 2.86
Ga  0.7500  0.5000  0.2500  4 Ga 2.74
Ga  0.7500  0.2500  0.5000  4 Ga 2.74
Ga  0.0000  0.6797  0.6797  4 Ga 2.74, 1 Sn 2.86
Ga  0.6797  0.0000  0.6797  4 Ga 2.74, 1 Sn 2.86
Ce  0.5000  0.5000  0.5000  12 Ga 3.15-3.21
Ga  0.5000  0.2500  0.7500  4 Ga 2.74
Ce  0.5000  0.0000  0.0000  12 Ga 3.15-3.21
Ce  0.0000  0.0000  0.5000  12 Ga 3.15-3.21
Ga  0.5000  0.7500  0.2500  4 Ga 2.74
Ga  0.6797  0.6797  0.0000  4 Ga 2.74, 1 Sn 2.86
Ga  0.3203  0.0000  0.3203  4 Ga 2.74, 1 Sn 2.86
Ga  0.3203  0.3203  0.0000  4 Ga 2.74, 1 Sn 2.86
Ga  0.2500  0.5000  0.7500  4 Ga 2.74
Ga  0.2500  0.7500  0.5000  4 Ga 2.74
Sn  0.0000  0.0000  0.0000  6 Ga 2.86
Ce  0.0000  0.5000  0.0000  12 Ga 3.15-3.21

=====

Record 3
The following is a DFT calculation (PBE) of a relaxed structure of GaAg8Sn2.

## Properties
Calculated volume, Å³ per cell: 240.1
SG: C2/m
Final energy, eV/atom: -2.907
Formation energy, eV per atom: 0.170
Magnetic moment, Bohr magnetons per cell: 0.00

Lattice parameters (Å, degrees): 4.9834 7.1738 7.1738 79.74 76.31 76.31
Last column: nearest neighbours and their distance in Å.
Atoms (fractional coordinates):
Ag  0.8053  0.1612  0.6788  1 Ga 2.68, 3 Ag 2.79-3.00, 1 Sn 2.85
Ag  0.2910  0.4327  0.4327  1 Sn 2.81, 7 Ag 2.82-3.02
Ag  0.7090  0.5673  0.5673  1 Sn 2.81, 7 Ag 2.82-3.02
Ga  0.0000  0.0000  0.0000  6 Ag 2.68-2.98, 2 Sn 2.78
Sn  0.5490  0.8357  0.8357  5 Ag 2.76-2.85, 1 Ga 2.78
Ag  0.1947  0.8388  0.3212  1 Ga 2.68, 3 Ag 2.79-3.00, 1 Sn 2.85
Sn  0.4510  0.1643  0.1643  5 Ag 2.76-2.85, 1 Ga 2.78
Ag  0.1242  0.7177  0.7177  2 Sn 2.76-2.80, 5 Ag 2.79-3.02, 1 Ga 2.98
Ag  0.8053  0.6788  0.1612  1 Ga 2.68, 3 Ag 2.79-3.00, 1 Sn 2.85
Ag  0.8758  0.2823  0.2823  2 Sn 2.76-2.80, 5 Ag 2.79-3.02, 1 Ga 2.98
Ag  0.1947  0.3212  0.8388  1 Ga 2.68, 3 Ag 2.79-3.00, 1 Sn 2.85